## Na2TbPt9 (PBE-GGA)

Data for crystalline Na2TbPt9 at its relaxed geometry.

```
Na2TbPt9
1.0
2.6757 1.5448 8.8602
-2.6757 1.5448 8.8602
0.0000 -3.0896 8.8602
Na Tb Pt
2 1 9
direct
0.1450 0.1450 0.1450
0.8550 0.8550 0.8550
0.0000 0.0000 0.0000
0.0821 0.5854 0.5854
0.3328 0.3328 0.3328
0.4146 0.4146 0.9179
0.4146 0.9179 0.4146
0.5000 0.5000 0.5000
0.5854 0.0821 0.5854
0.5854 0.5854 0.0821
0.6672 0.6672 0.6672
0.9179 0.4146 0.4146
```

## Properties
The calculation puts the total moment at 0.00 μB/cell. Its density of states at the Fermi level is 7.33 states/eV per cell. The formation energy comes out at -6.06 eV/f.u. The calculated volume is 219.74 Å³/f.u.